DFT (PBE+U) results for a geometry-optimized Mg2NiIrO6 structure.

The space group is P2_1/c (No. 14) and the conventional cell measures 5.1214, 5.3145 and 9.1263 Å, with angles of 90.00, 123.88 and 90.00 degrees. The inequivalent atoms are Mg at (0.2296, 0.0592, 0.2385), Ni at (0.0000, 0.0000, 0.5000), Ir at (0.5000, 0.0000, 0.0000), O at (0.1224, 0.1776, 0.9404), O at (0.2449, 0.6937, 0.9165) and O at (0.3948, 0.0765, 0.7604).

The value obtained for the total moment is 0.6 μB per formula unit. The calculation puts the total energy at -5.94 eV per atom. The value obtained for the calculated density is 6.370 g/cm³. Its energy above the most stable polymorph in this dataset is 0.000 eV/atom.

DFT (PBE+U) results for a geometry-optimized Mg2NiIrO6 structure.

The space group is P4mm (No. 99) and the conventional cell measures 5.3980, 5.3980 and 4.5153 Å, with angles of 90.00, 90.00 and 90.00 degrees. The inequivalent atoms are Mg at (0.0000, 0.5000, 0.0000), Ni at (0.0000, 0.0000, 0.6935), Ir at (0.5000, 0.5000, 0.6949), O at (0.0000, 0.0000, 0.2767), O at (0.2565, 0.2565, 0.8250) and O at (0.5000, 0.5000, 0.2993).

The value obtained for the total moment is 1.0 μB per formula unit. The calculation puts the total energy at -5.57 eV per atom. The value obtained for the calculated density is 4.992 g/cm³. Its energy above the most stable polymorph in this dataset is 0.361 eV/atom.

DFT (PBE+U) results for a geometry-optimized MgNi2IrO6 structure.

The space group is R3 (No. 146, hexagonal axes) and the conventional cell measures 5.1319, 5.1319 and 13.8830 Å, with angles of 90.00, 90.00 and 120.00 degrees. The inequivalent atoms are Mg at (0.0000, 0.0000, 0.0000), Ni at (0.0000, 0.0000, 0.2040), Ni at (0.0000, 0.0000, 0.7090), Ir at (0.0000, 0.0000, 0.5100), O at (0.0066, 0.3608, 0.7724) and O at (0.0370, 0.6674, 0.2681).

The value obtained for the total moment is 1.0 μB per formula unit. The calculation puts the total energy at -5.74 eV per atom. The value obtained for the calculated density is 6.764 g/cm³.